First-principles (PBE) data for crystalline ZrInTcRh at its relaxed geometry, as listed in the Alexandria database.

CIF file:
```
data_ZrInTcRh
_cell_length_a 4.622
_cell_length_b 4.622
_cell_length_c 4.622
_cell_angle_alpha 60.00
_cell_angle_beta 60.00
_cell_angle_gamma 60.00
_space_group_name_H-M_alt 'P 1'
_space_group_IT_number 1
loop_
_space_group_symop_operation_xyz
'x,y,z'
loop_
_atom_site_label
_atom_site_type_symbol
_atom_site_fract_x
_atom_site_fract_y
_atom_site_fract_z
Zr1 Zr 0.000 0.000 0.000
In1 In 0.500 0.500 0.500
Tc1 Tc 0.750 0.750 0.750
Rh1 Rh 0.250 0.250 0.250
```

Computed properties:
Space group: No. 216
E_form, eV per atom: -0.361
Crystal system: cubic
DOS(E_F), states/eV/cell: 5.99
Mass density, g/cm³: 9.68
Relative energy among the computed polymorphs, meV per atom: 55